Record 1
Compound: KMn2In
Source: Alexandria
Functional: PBE
Structure: relaxed

Calculated volume = 24.528 Å³ per atom
Magnetization = 2.02 μB per atom
Formation enthalpy at 0 K = 0.77 eV/atom
Space group = Immm

The structure in CIF format:
```
data_KMn2In
_symmetry_space_group_name_H-M 'P 1'
_symmetry_Int_Tables_number 1
_cell_length_a 6.4011
_cell_length_b 6.4011
_cell_length_c 6.4011
_cell_angle_alpha 151.89
_cell_angle_beta 126.85
_cell_angle_gamma 61.20
loop_
_symmetry_equiv_pos_as_xyz
'x,y,z'
loop_
_atom_site_label
_atom_site_type_symbol
_atom_site_fract_x
_atom_site_fract_y
_atom_site_fract_z
K1 K 0.0000 0.0000 0.0000
Mn1 Mn 0.2840 0.7840 0.5000
Mn2 Mn 0.7160 0.2160 0.5000
In1 In 0.5000 0.5000 0.0000
```

=====

Record 2
Compound: NaTmHgPb
Source: Alexandria
Functional: PBE
Structure: relaxed

Calculated volume = 26.019 Å³ per atom
Magnetization = 0.00 μB per atom
Formation enthalpy at 0 K = -0.34 eV/atom
Space group = F-43m

The structure in CIF format:
```
data_NaTmHgPb
_symmetry_space_group_name_H-M 'P 1'
_symmetry_Int_Tables_number 1
_cell_length_a 5.2798
_cell_length_b 5.2798
_cell_length_c 5.2798
_cell_angle_alpha 60.00
_cell_angle_beta 60.00
_cell_angle_gamma 60.00
loop_
_symmetry_equiv_pos_as_xyz
'x,y,z'
loop_
_atom_site_label
_atom_site_type_symbol
_atom_site_fract_x
_atom_site_fract_y
_atom_site_fract_z
Na1 Na 0.0000 0.0000 0.0000
Tm1 Tm 0.5000 0.5000 0.5000
Hg1 Hg 0.2500 0.2500 0.2500
Pb1 Pb 0.7500 0.7500 0.7500
```

=====

Record 3
Compound: SrYCd6
Source: Alexandria
Functional: PBE
Structure: relaxed

Calculated volume = 26.012 Å³ per atom
Magnetization = 0.00 μB per atom
Formation enthalpy at 0 K = -0.25 eV/atom
Space group = Pmm2

The structure in CIF format:
```
data_SrYCd6
_symmetry_space_group_name_H-M 'P 1'
_symmetry_Int_Tables_number 1
_cell_length_a 4.9226
_cell_length_b 6.6345
_cell_length_c 6.3717
_cell_angle_alpha 90.00
_cell_angle_beta 90.00
_cell_angle_gamma 90.00
loop_
_symmetry_equiv_pos_as_xyz
'x,y,z'
loop_
_atom_site_label
_atom_site_type_symbol
_atom_site_fract_x
_atom_site_fract_y
_atom_site_fract_z
Sr1 Sr 0.0000 0.0000 0.0000
Y1 Y 0.5000 0.5000 0.2249
Cd1 Cd 0.0000 0.2659 0.4642
Cd2 Cd 0.0000 0.5000 0.9023
Cd3 Cd 0.0000 0.7341 0.4642
Cd4 Cd 0.5000 0.0000 0.3742
Cd5 Cd 0.5000 0.2691 0.7548
Cd6 Cd 0.5000 0.7309 0.7548
```

=====

Record 4
Compound: Ta2SiTe
Source: Alexandria
Functional: PBE
Structure: relaxed

Calculated volume = 20.269 Å³ per atom
Energy above the lowest structure with this stoichiometry = 342 meV per atom
Energy relative to the elements, uncorrected = 0.17 eV/atom
Magnetization = 0.00 μB per atom
Space group = Cmm2

The structure in CIF format:
```
data_Ta2SiTe
_symmetry_space_group_name_H-M 'P 1'
_symmetry_Int_Tables_number 1
_cell_length_a 3.0257
_cell_length_b 3.0257
_cell_length_c 9.2728
_cell_angle_alpha 90.00
_cell_angle_beta 90.00
_cell_angle_gamma 107.24
loop_
_symmetry_equiv_pos_as_xyz
'x,y,z'
loop_
_atom_site_label
_atom_site_type_symbol
_atom_site_fract_x
_atom_site_fract_y
_atom_site_fract_z
Ta1 Ta 0.0000 0.0000 0.0000
Ta2 Ta 0.5000 0.5000 0.2366
Si1 Si 0.5000 0.5000 0.7992
Te1 Te 0.0000 0.0000 0.4758
```

=====

Record 5
Compound: Er8Tm3In2
Source: Alexandria
Functional: PBE
Structure: relaxed

Calculated volume = 30.929 Å³ per atom
Magnetization = 0.00 μB per atom
Formation enthalpy at 0 K = 0.03 eV/atom
Space group = Cmmm

The structure in CIF format:
```
data_Er8Tm3In2
_symmetry_space_group_name_H-M 'P 1'
_symmetry_Int_Tables_number 1
_cell_length_a 9.9509
_cell_length_b 9.9509
_cell_length_c 5.4426
_cell_angle_alpha 90.00
_cell_angle_beta 90.00
_cell_angle_gamma 131.75
loop_
_symmetry_equiv_pos_as_xyz
'x,y,z'
loop_
_atom_site_label
_atom_site_type_symbol
_atom_site_fract_x
_atom_site_fract_y
_atom_site_fract_z
Er1 Er 0.1291 0.8709 0.0000
Er2 Er 0.1778 0.4096 0.5000
Er3 Er 0.3237 0.6763 0.0000
Er4 Er 0.4096 0.1778 0.5000
Er5 Er 0.5904 0.8222 0.5000
Er6 Er 0.6763 0.3237 0.0000
Er7 Er 0.8222 0.5904 0.5000
Er8 Er 0.8709 0.1291 0.0000
Tm1 Tm 0.0000 0.0000 0.5000
Tm2 Tm 0.2969 0.2969 0.0000
Tm3 Tm 0.7031 0.7031 0.0000
In1 In 0.2319 0.7681 0.5000
In2 In 0.7681 0.2319 0.5000
```

=====

Record 6
Compound: PrCN2O
Source: Alexandria
Functional: PBE
Structure: relaxed

Calculated volume = 17.819 Å³ per atom
Energy relative to the elements, uncorrected = -0.94 eV/atom
Magnetization = 0.20 μB per atom
Space group = P2_1/m

The structure in CIF format:
```
data_PrCN2O
_symmetry_space_group_name_H-M 'P 1'
_symmetry_Int_Tables_number 1
_cell_length_a 6.2129
_cell_length_b 4.0948
_cell_length_c 7.1424
_cell_angle_alpha 90.00
_cell_angle_beta 101.28
_cell_angle_gamma 90.00
loop_
_symmetry_equiv_pos_as_xyz
'x,y,z'
loop_
_atom_site_label
_atom_site_type_symbol
_atom_site_fract_x
_atom_site_fract_y
_atom_site_fract_z
Pr1 Pr 0.2389 0.2500 0.1121
Pr2 Pr 0.7611 0.7500 0.8879
C1 C 0.3564 0.2500 0.6468
C2 C 0.6436 0.7500 0.3532
N1 N 0.2891 0.2500 0.4748
N2 N 0.4313 0.2500 0.8219
N3 N 0.5687 0.7500 0.1781
N4 N 0.7109 0.7500 0.5252
O1 O 0.0749 0.7500 0.1240
O2 O 0.9251 0.2500 0.8760
```

=====

Record 7
Compound: CsNa2TiCl6
Source: Alexandria
Functional: PBE
Structure: relaxed

Calculated volume = 28.930 Å³ per atom
Energy relative to the elements, uncorrected = -1.73 eV/atom
Magnetization = 0.10 μB per atom
Space group = P1

The structure in CIF format:
```
data_CsNa2TiCl6
_symmetry_space_group_name_H-M 'P 1'
_symmetry_Int_Tables_number 1
_cell_length_a 7.1239
_cell_length_b 7.1541
_cell_length_c 7.7049
_cell_angle_alpha 90.27
_cell_angle_beta 117.16
_cell_angle_gamma 119.78
loop_
_symmetry_equiv_pos_as_xyz
'x,y,z'
loop_
_atom_site_label
_atom_site_type_symbol
_atom_site_fract_x
_atom_site_fract_y
_atom_site_fract_z
Cs1 Cs 0.0000 0.0000 0.0000
Na1 Na 0.5330 0.2692 0.7959
Na2 Na 0.5830 0.7944 0.3731
Ti1 Ti 0.9174 0.4607 0.3720
Cl1 Cl 0.0630 0.4777 0.1363
Cl2 Cl 0.0733 0.2553 0.5816
Cl3 Cl 0.3297 0.8301 0.5764
Cl4 Cl 0.5542 0.0798 0.1373
Cl5 Cl 0.6600 0.5848 0.1351
Cl6 Cl 0.7598 0.5164 0.5820
```

=====

Record 8
Compound: NpPHRh
Source: Alexandria
Functional: PBE
Structure: relaxed

Calculated volume = 13.487 Å³ per atom
Uncorrected energy = -63.54 eV per cell
Magnetization = 0.85 μB per atom
Space group = P4/nmm

The structure in CIF format:
```
data_NpPHRh
_symmetry_space_group_name_H-M 'P 1'
_symmetry_Int_Tables_number 1
_cell_length_a 3.9233
_cell_length_b 3.9233
_cell_length_c 7.0098
_cell_angle_alpha 90.00
_cell_angle_beta 90.00
_cell_angle_gamma 90.00
loop_
_symmetry_equiv_pos_as_xyz
'x,y,z'
loop_
_atom_site_label
_atom_site_type_symbol
_atom_site_fract_x
_atom_site_fract_y
_atom_site_fract_z
Np1 Np 0.2500 0.2500 0.1470
Np2 Np 0.7500 0.7500 0.8530
P1 P 0.2500 0.2500 0.7092
P2 P 0.7500 0.7500 0.2908
H1 H 0.2500 0.7500 0.0000
H2 H 0.7500 0.2500 0.0000
Rh1 Rh 0.2500 0.7500 0.5000
Rh2 Rh 0.7500 0.2500 0.5000
```

=====

Record 9
Compound: CrHg4Rh
Source: Alexandria
Functional: PBE
Structure: relaxed

Calculated volume = 21.024 Å³ per atom
Magnetization = 0.66 μB per atom
Formation enthalpy at 0 K = 0.62 eV/atom
Space group = F-43m

The structure in CIF format:
```
data_CrHg4Rh
_symmetry_space_group_name_H-M 'P 1'
_symmetry_Int_Tables_number 1
_cell_length_a 5.6294
_cell_length_b 5.6294
_cell_length_c 5.6294
_cell_angle_alpha 60.00
_cell_angle_beta 60.00
_cell_angle_gamma 60.00
loop_
_symmetry_equiv_pos_as_xyz
'x,y,z'
loop_
_atom_site_label
_atom_site_type_symbol
_atom_site_fract_x
_atom_site_fract_y
_atom_site_fract_z
Cr1 Cr 0.0000 0.0000 0.0000
Hg1 Hg 0.1257 0.6248 0.6248
Hg2 Hg 0.6248 0.1257 0.6248
Hg3 Hg 0.6248 0.6248 0.1257
Hg4 Hg 0.6248 0.6248 0.6248
Rh1 Rh 0.2500 0.2500 0.2500
```

=====

Record 10
Compound: MnAl2Pb
Source: Alexandria
Functional: PBE
Structure: relaxed

Calculated volume = 18.880 Å³ per atom
Magnetization = 0.87 μB per atom
Formation enthalpy at 0 K = 0.29 eV/atom
Space group = I4/mmm

The structure in CIF format:
```
data_MnAl2Pb
_symmetry_space_group_name_H-M 'P 1'
_symmetry_Int_Tables_number 1
_cell_length_a 5.3624
_cell_length_b 5.3624
_cell_length_c 5.3624
_cell_angle_alpha 135.17
_cell_angle_beta 135.17
_cell_angle_gamma 65.26
loop_
_symmetry_equiv_pos_as_xyz
'x,y,z'
loop_
_atom_site_label
_atom_site_type_symbol
_atom_site_fract_x
_atom_site_fract_y
_atom_site_fract_z
Mn1 Mn 0.0000 0.0000 0.0000
Al1 Al 0.2500 0.7500 0.5000
Al2 Al 0.7500 0.2500 0.5000
Pb1 Pb 0.5000 0.5000 0.0000
```